No. 1
Entry from Alexandria via LeMat-Bulk: a relaxed TmMgCdPd crystal (PBE).

Its spin magnetization is 0.00 μB per atom. For the mass density, the calculation gives 8282 kg/m³. As for the crystal system: cubic. The value obtained for the calculated total energy is -3.55 eV/atom. The value obtained for the density of states at the Fermi level is 0.731 states/eV per atom. The value obtained for the energy relative to the elements is -194 kJ/mol of formula units. The energy above the most stable polymorph in this dataset comes out at 42 meV per atom.

It has space group F-43m (No. 216), with a = 6.914 Å, b = 6.914 Å, c = 6.914 Å, α = 90.00°, β = 90.00° and γ = 90.00°. The asymmetric unit holds Tm at (0.000, 0.000, 0.000), Mg at (0.000, 0.000, 0.500), Cd at (0.250, 0.250, 0.750) and Pd at (0.250, 0.250, 0.250).


No. 2
Entry from Alexandria via LeMat-Bulk: a relaxed TmMgCdPd crystal (PBE).

Its spin magnetization is 0.00 μB per atom. For the mass density, the calculation gives 8218 kg/m³. As for the crystal system: tetragonal. The value obtained for the calculated total energy is -3.59 eV/atom. The value obtained for the density of states at the Fermi level is 0.309 states/eV per atom. The value obtained for the energy relative to the elements is -210 kJ/mol of formula units. The energy above the most stable polymorph in this dataset comes out at 0 meV per atom.

It has space group P4mm (No. 99), with a = 3.373 Å, b = 3.373 Å, c = 7.319 Å, α = 90.00°, β = 90.00° and γ = 90.00°. The asymmetric unit holds Tm at (0.000, 0.000, 0.000), Mg at (0.000, 0.000, 0.443), Cd at (0.500, 0.500, 0.697) and Pd at (0.500, 0.500, 0.231).


- Which value of energy above the most stable polymorph in this dataset does entry 2 give?
  0 meV per atom